Computed, not measured: an optimized crystal structure of SmTmCoAg at the PBE level of DFT.

POSCAR file:
```
SmTmCoAg
1.0
0.000 3.510 3.510
3.510 0.000 3.510
3.510 3.510 0.000
Sm Tm Co Ag
1 1 1 1
direct
0.000 0.000 0.000 Sm
0.500 0.500 0.500 Tm
0.250 0.250 0.250 Co
0.750 0.750 0.750 Ag
```

Properties
Final energy ... -19.76 eV/f.u.
Formation energy from the elements ... -0.15 eV/atom
Size of the total moment ... 0.5 μB/cell
Space-group type ... F-43m (216)